VASP calculation (GGA+U) on crystalline CsW2O8 at its relaxed geometry.

Unit cell a=4.7708 b=4.7708 c=7.6238 alpha=90.00 beta=90.00 gamma=90.00
Last column: magnetic moment on the atom in μB.
Fractional positions:
Cs: 0.5000 0.5000 0.5000  0.00
W: 0.5000 0.0000 0.0000  -0.10
W: 0.0000 0.5000 0.0000  -0.10
O: 0.7502 0.7502 0.1553  0.19
O: 0.7502 0.2498 0.8447  0.19
O: 0.7502 0.7502 0.8447  0.19
O: 0.7502 0.2498 0.1553  0.19
O: 0.2498 0.7502 0.1553  0.19
O: 0.2498 0.7502 0.8447  0.19
O: 0.2498 0.2498 0.1553  0.19
O: 0.2498 0.2498 0.8447  0.19

Calculated values
Fermi-level density of states in states/eV/cell: 4.420
Symmetry: P4/mmm (123)
E in eV/atom: -6.152
Calculated density in g/cm3: 6.0